# TbMnAs2O8 (GGA+U, optimized geometry)
data_TbMnAs2O8
_chemical_formula_sum 'Tb2 Mn2 As4 O16'
_cell_length_a 7.027
_cell_length_b 7.027
_cell_length_c 6.360
_cell_angle_alpha 90.00
_cell_angle_beta 90.00
_cell_angle_gamma 90.00
_symmetry_space_group_name_H-M 'I -4 m 2'
_symmetry_Int_Tables_number 119
_symmetry_space_group_name_Hall 'I -4 -2'
loop_
_atom_site_label
_atom_site_fract_x
_atom_site_fract_y
_atom_site_fract_z
Tb1 0.000 0.000 0.000
Mn1 0.000 0.500 0.750
As1 0.000 0.000 0.500
As2 0.000 0.500 0.250
O1 0.000 0.186 0.679
O2 0.000 0.318 0.071
# E_tot = -163.86 eV per cell
# Calculated density = 5.200 g/cm3
# D(E_F) = 15.83 states/eV per cell